Record 1
# SmZnSnPt | the Alexandria database | PBE | optimized geometry
# Density of states at the Fermi level   1.94 states/eV/f.u.
# Total magnetization   0.000 μB per cell
# Calculated density   10.56 g/cm³
# VASP energy   -4.674 eV/atom
data_SmZnSnPt
_space_group_name_H-M_alt 'F -4 3 m'
_space_group_IT_number 216
_space_group_name_Hall 'F -4 2 3'
_cell_length_a 6.9321
_cell_length_b 6.9321
_cell_length_c 6.9321
_cell_angle_alpha 90.00
_cell_angle_beta 90.00
_cell_angle_gamma 90.00
loop_
_atom_site_label
_atom_site_type_symbol
_atom_site_fract_x
_atom_site_fract_y
_atom_site_fract_z
Sm1 Sm 0.0000 0.0000 0.0000
Zn1 Zn 0.2500 0.2500 0.7500
Sn1 Sn 0.0000 0.0000 0.5000
Pt1 Pt 0.2500 0.2500 0.2500

---

Record 2
# Sm2ZnSn3Pt4 | the Alexandria database | PBE | optimized geometry
# Density of states at the Fermi level   5.31 states/eV/f.u.
# Total magnetization   0.000 μB per cell
# Calculated density   11.53 g/cm³
# VASP energy   -5.489 eV/atom
data_Sm2ZnSn3Pt4
_space_group_name_H-M_alt 'P -4 m 2'
_space_group_IT_number 115
_cell_length_a 4.4465
_cell_length_b 4.4465
_cell_length_c 10.9422
_cell_angle_alpha 90.00
_cell_angle_beta 90.00
_cell_angle_gamma 90.00
loop_
_space_group_symop_operation_xyz
'x,y,z'
'y,-x,-z'
'-x,-y,z'
'-y,x,-z'
'-x,y,z'
'-y,-x,-z'
'x,-y,z'
'y,x,-z'
loop_
_atom_site_label
_atom_site_type_symbol
_atom_site_fract_x
_atom_site_fract_y
_atom_site_fract_z
Sm1 Sm 0.0000 0.5000 0.2415
Zn1 Zn 0.5000 0.5000 0.0000
Sn1 Sn 0.0000 0.0000 0.0000
Sn2 Sn 0.0000 0.5000 0.6341
Pt1 Pt 0.0000 0.0000 0.5000
Pt2 Pt 0.0000 0.5000 0.8692
Pt3 Pt 0.5000 0.5000 0.5000

---

Record 3
# Sm2ZnSnPt6 | the Alexandria database | PBE | optimized geometry
# Density of states at the Fermi level   3.68 states/eV/f.u.
# Total magnetization   0.000 μB per cell
# Calculated density   12.25 g/cm³
# VASP energy   -5.842 eV/atom
data_Sm2ZnSnPt6
_space_group_name_H-M_alt 'R -3 m'
_space_group_IT_number 166
_space_group_name_Hall '-R 3 2"'
_cell_length_a 5.5906
_cell_length_b 5.5906
_cell_length_c 24.8639
_cell_angle_alpha 90.00
_cell_angle_beta 90.00
_cell_angle_gamma 120.00
loop_
_atom_site_label
_atom_site_type_symbol
_atom_site_fract_x
_atom_site_fract_y
_atom_site_fract_z
Sm1 Sm 0.0000 0.0000 0.2009
Zn1 Zn 0.0000 0.0000 0.5000
Sn1 Sn 0.0000 0.0000 0.0000
Pt1 Pt 0.0018 0.5009 0.2459